Er3CrAg3O8 | GGA+U | relaxed

a b c (Å): 6.7627 6.6881 9.5322
angles (deg): 130.50 90.00 120.37
Closest atoms and distances in Å follow each position.
Element x y z (fractional)
O 0.7381 0.9414 0.3322  1 Cr 2.08, 1 Ag 2.09, 2 Er 2.27-2.28
O 0.2619 0.0586 0.6678  1 Cr 2.08, 1 Ag 2.09, 2 Er 2.27-2.28
O 0.7968 0.0586 0.6678  1 Cr 2.08, 1 Ag 2.09, 2 Er 2.27-2.28
O 0.2280 0.4559 0.3319  1 Ag 2.10, 3 Er 2.20-2.21
O 0.7720 0.5441 0.6681  1 Ag 2.10, 3 Er 2.20-2.21
O 0.7644 0.5288 0.3541  1 Cr 1.91
O 0.2032 0.9414 0.3322  1 Cr 2.08, 1 Ag 2.09, 2 Er 2.27-2.28
O 0.2356 0.4712 0.6459  1 Cr 1.91
Er 0.5000 0.5000 0.5000  6 O 2.21-2.28
Er 0.0000 0.5000 0.5000  6 O 2.21-2.28
Er 0.5000 0.0000 0.5000  6 O 2.20-2.27
Ag 0.5000 0.5000 0.0000  2 O 2.09
Ag 0.0000 0.0000 0.0000  2 O 2.10
Ag 0.0000 0.5000 0.0000  2 O 2.09
Cr 0.0000 0.0000 0.5000  6 O 1.91-2.08

Calculated total energy: -6.700 eV/atom
Magnetization: 2.01 μB per formula unit
V: 16.3 Å³/atom